Density functional theory data (meta-GGA SCAN) for a PBEsol-optimized structure of MgCuP.

Cell lengths 3.671, 3.823, 3.823 Å; angles 120.00, 90.00, 90.00 degrees
Fractional coordinates of all 3 atoms:
P: 0.500 0.667 0.333
Mg: 0.000 0.333 0.667
Cu: 0.500 0.000 0.000

Results
As for the total magnetization: 0.00 μB per formula unit. The value obtained for the formation energy is -40 kJ per mole of atoms. As for the density of states at the Fermi level: 0.70 states/eV/f.u. For the total energy, the calculation gives -10.60 eV/atom.

=====

Density functional theory data (meta-GGA SCAN) for a PBEsol-optimized structure of CrRe2Te.

Cell lengths 3.010, 4.579, 4.812 Å; angles 98.48, 108.22, 90.00 degrees
Fractional coordinates of all 4 atoms:
Cr: 0.738 0.231 0.476
Re: 0.002 0.987 0.005
Re: 0.261 0.803 0.523
Te: 0.498 0.480 0.996

Results
As for the total magnetization: 1.81 μB per formula unit. As for the density of states at the Fermi level: 3.76 states/eV/f.u. For the total energy, the calculation gives -48.85 eV/atom. As for the uncorrected formation energy: 2.4 eV per formula unit.

=====

Density functional theory data (meta-GGA SCAN) for a PBEsol-optimized structure of Si3Br2.

Cell lengths 3.854, 3.854, 10.406 Å; angles 79.33, 79.33, 60.00 degrees
Fractional coordinates of all 5 atoms:
Br: 0.615 0.615 0.156
Br: 0.385 0.385 0.844
Si: 0.000 0.000 0.000
Si: 0.159 0.159 0.524
Si: 0.841 0.841 0.476

Results
As for the total magnetization: 0.00 μB per formula unit. As for the density of states at the Fermi level: 0.04 states/eV/f.u. For the total energy, the calculation gives -13.64 eV/atom. As for the uncorrected formation energy: 0.8 eV per formula unit.

=====

Density functional theory data (meta-GGA SCAN) for a PBEsol-optimized structure of Tm2PdPt.

Cell lengths 4.806, 4.806, 4.806 Å; angles 60.00, 60.00, 60.00 degrees
Fractional coordinates of all 4 atoms:
Tm: 0.750 0.750 0.750
Tm: 0.250 0.250 0.250
Pt: 0.000 0.000 0.000
Pd: 0.500 0.500 0.500

Results
As for the total magnetization: 0.00 μB per formula unit. The value obtained for the formation energy is -126 kJ per mole of atoms. As for the density of states at the Fermi level: 1.65 states/eV/f.u. For the total energy, the calculation gives -52.96 eV/atom.

=====

Density functional theory data (meta-GGA SCAN) for a PBEsol-optimized structure of CaPPt.

Cell lengths 4.324, 4.324, 4.324 Å; angles 60.00, 60.00, 60.00 degrees
Fractional coordinates of all 3 atoms:
Ca: 0.500 0.500 0.500
P: 0.250 0.250 0.250
Pt: 0.000 0.000 0.000

Results
As for the total magnetization: 0.00 μB per formula unit. The value obtained for the formation energy is -68 kJ per mole of atoms. As for the density of states at the Fermi level: 1.67 states/eV/f.u. For the total energy, the calculation gives -30.79 eV/atom.

=====

Density functional theory data (meta-GGA SCAN) for a PBEsol-optimized structure of DyMgMnS4.

Cell lengths 7.447, 7.447, 7.447 Å; angles 87.72, 62.22, 119.62 degrees
Fractional coordinates of all 14 atoms:
Dy: 0.000 0.000 0.000
Dy: 0.500 0.000 0.500
Mg: 0.250 0.372 0.378
Mg: 0.750 0.628 0.622
Mn: 0.500 0.000 0.000
Mn: 0.000 0.500 0.000
S: 0.534 0.259 0.208
S: 0.004 0.734 0.769
S: 0.496 0.227 0.769
S: 0.034 0.741 0.225
S: 0.504 0.773 0.231
S: 0.966 0.259 0.775
S: 0.466 0.741 0.792
S: 0.996 0.266 0.231

Results
As for the total magnetization: 4.00 μB per formula unit. As for the density of states at the Fermi level: 1.03 states/eV/f.u. For the total energy, the calculation gives -17.22 eV/atom. As for the uncorrected formation energy: -11.0 eV per formula unit.